VASP calculation (PBE) on a relaxed CeSiPd crystal.

Calculated values
Symmetry = P2_1/c
Raw formation energy = -0.820 eV/atom

abc: 5.6761 5.7540 7.6400
angles: 108.00 90.00 90.00
Last column: magnetic moment on the atom in μB.
Element x y z (fractional)
1 Si 0.6336 0.1623 0.9717  -0.01
2 Si 0.3664 0.8377 0.0283  -0.01
3 Si 0.1336 0.3377 0.5283  -0.01
4 Si 0.8664 0.6623 0.4717  -0.01
5 Pd 0.6083 0.6004 0.1998  0.00
6 Pd 0.3917 0.3996 0.8002  0.00
7 Pd 0.8917 0.1004 0.6998  0.00
8 Pd 0.1083 0.8996 0.3002  0.00
9 Ce 0.1311 0.3370 0.1239  0.62
10 Ce 0.3689 0.8370 0.6239  0.65
11 Ce 0.8689 0.6630 0.8761  0.62
12 Ce 0.6311 0.1630 0.3761  0.65